No. 1
{"formula": "LaHoAlIn", "functional": "GGA-PBE", "state": "relaxed", "lattice_angstrom": [[-4.003, -2.705, 2.280], [0.995, -4.566, 2.589], [-0.402, -0.195, 5.324]], "species": ["Al", "In", "Ho", "La"], "fractional_positions": [[0.750, 0.750, 0.750], [0.250, 0.250, 0.250], [0.500, 0.500, 0.500], [0.000, 0.000, 0.000]], "e_above_lowest_polymorph_mev_per_atom": 19.7, "space_group": "F-43m, No. 216", "total_magnetization_mub_per_fu": 0.00, "ef_ev_per_atom": -0.41, "energy_ev_per_atom": -4.410}

***

No. 2
{"formula": "Na3Ga5Ge2", "functional": "GGA-PBE", "state": "relaxed", "lattice_angstrom": [[-3.916, 1.669, -4.606], [2.475, -3.813, -7.756], [-6.263, -6.329, -1.238]], "species": ["Na", "Na", "Na", "Na", "Na", "Na", "Ga", "Ga", "Ga", "Ga", "Ga", "Ga", "Ga", "Ga", "Ga", "Ga", "Ge", "Ge", "Ge", "Ge"], "fractional_positions": [[0.250, 0.000, 0.000], [0.750, 0.000, 0.000], [0.378, 0.378, 0.865], [0.622, 0.622, 0.135], [0.878, 0.865, 0.378], [0.122, 0.135, 0.622], [0.250, 0.500, 0.500], [0.750, 0.500, 0.500], [0.499, 0.751, 0.751], [0.001, 0.249, 0.249], [0.501, 0.249, 0.249], [0.999, 0.751, 0.751], [0.129, 0.504, 0.237], [0.871, 0.496, 0.763], [0.629, 0.237, 0.504], [0.371, 0.763, 0.496], [0.143, 0.713, 0.000], [0.857, 0.287, 0.000], [0.643, 0.000, 0.713], [0.357, 0.000, 0.287]], "space_group": "Ibam, No. 72", "total_magnetization_mub_per_fu": 0.00, "ef_ev_per_atom": -0.09, "energy_ev_per_atom": -2.927}

***

No. 3
{"formula": "SrTl2Te", "functional": "GGA-PBE", "state": "relaxed", "lattice_angstrom": [[-1.323, -3.978, 1.307], [3.826, -2.099, -2.514], [6.136, -0.943, 3.341]], "species": ["Sr", "Te", "Tl", "Tl"], "fractional_positions": [[0.500, 0.500, 0.500], [0.000, 0.000, 0.500], [0.000, 0.000, 0.000], [0.500, 0.500, 0.000]], "e_above_lowest_polymorph_mev_per_atom": 22.6, "formation_energy_uncorrected_kj_per_mol_fu": -240, "space_group": "P2/m, No. 10", "total_magnetization_mub_per_fu": 0.00, "energy_ev_per_atom": -3.011}

***

No. 4
{"formula": "K3CaLa", "functional": "GGA-PBE", "state": "relaxed", "lattice_angstrom": [[-4.101, -4.877, 2.710], [-2.667, -1.241, -6.268], [4.901, -4.756, -1.143]], "species": ["Ca", "K", "K", "K", "La"], "fractional_positions": [[0.500, 0.500, 0.500], [0.000, 0.500, 0.000], [0.000, 0.000, 0.500], [0.500, 0.000, 0.000], [0.000, 0.000, 0.000]], "space_group": "Pm-3m, No. 221", "total_magnetization_mub_per_fu": 4.17, "ef_ev_per_atom": 0.88, "energy_ev_per_atom": -1.165}

***

No. 5
{"formula": "K2RbEu", "functional": "GGA-PBE", "state": "relaxed", "lattice_angstrom": [[4.699, 0.000, 0.000], [0.000, 7.621, 0.000], [0.000, 0.000, 7.621]], "species": ["Eu", "K", "K", "Rb"], "fractional_positions": [[0.500, 0.000, 0.000], [0.000, 0.000, 0.500], [0.000, 0.500, 0.000], [0.500, 0.500, 0.500]], "e_above_lowest_polymorph_mev_per_atom": 28.9, "space_group": "P4/mmm, No. 123", "total_magnetization_mub_per_fu": 7.66, "ef_ev_per_atom": 0.17, "energy_ev_per_atom": -3.192}

***

No. 6
{"formula": "TmPuPdPt", "functional": "GGA-PBE", "state": "relaxed", "lattice_angstrom": [[-2.011, 1.535, 4.239], [2.385, -0.710, 4.263], [1.949, 3.844, 2.407]], "species": ["Tm", "Pd", "Pt", "Pu"], "fractional_positions": [[0.750, 0.750, 0.750], [0.500, 0.500, 0.500], [0.000, 0.000, 0.000], [0.250, 0.250, 0.250]], "space_group": "F-43m, No. 216", "total_magnetization_mub_per_fu": 5.61, "ef_ev_per_atom": -0.81, "energy_ev_per_atom": -8.322}

***

No. 7
{"formula": "LuPaAs", "functional": "GGA-PBE", "state": "relaxed", "lattice_angstrom": [[3.675, 0.000, 0.000], [0.000, 4.787, 0.000], [0.000, -2.393, 4.146]], "species": ["As", "Pa", "Lu"], "fractional_positions": [[0.502, 0.333, 0.667], [0.999, 0.000, 0.000], [0.499, 0.667, 0.333]], "e_above_lowest_polymorph_mev_per_atom": 256.0, "space_group": "P3m1, No. 156", "total_magnetization_mub_per_fu": 1.59, "ef_ev_per_atom": -0.20, "energy_ev_per_atom": -6.426}

***

No. 8
{"formula": "Li4CdSn", "functional": "GGA-PBE", "state": "relaxed", "lattice_angstrom": [[4.985, 0.000, -0.040], [0.000, 7.681, 0.000], [-1.474, -3.840, 6.209]], "species": ["Li", "Li", "Li", "Li", "Li", "Li", "Li", "Li", "Cd", "Cd", "Sn", "Sn"], "fractional_positions": [[0.302, 0.667, 0.335], [0.391, 0.042, 0.711], [0.000, 0.179, 0.000], [0.609, 0.330, 0.289], [0.698, 0.333, 0.665], [0.609, 0.958, 0.289], [0.000, 0.821, 0.000], [0.391, 0.670, 0.711], [0.228, 0.444, 0.887], [0.772, 0.556, 0.113], [0.860, 0.794, 0.587], [0.140, 0.206, 0.413]], "e_above_lowest_polymorph_mev_per_atom": 61.9, "space_group": "C2/m, No. 12", "total_magnetization_mub_per_fu": 0.00, "ef_ev_per_atom": -0.25, "energy_ev_per_atom": -2.343}

***

Number 3 is which compound? SrTl2Te